Hg2OsRh2 | GGA-PBEsol | optimized geometry

Cell: 3.466 3.466 7.793 Å, 102.85 102.85 90.00°
Each line ends with the local moment (μB).
Atoms (fractional coordinates):
Hg 0.600 0.600 0.200  0.02
Hg 0.400 0.400 0.800  0.02
Rh 0.250 0.750 0.500  0.52
Rh 0.750 0.250 0.500  0.52
Os 0.000 0.000 0.000  0.92

- DOS at the Fermi energy (states/eV/atom) = 1.707
- ΔE_f (meV/atom) = 1106

---

HgOsRu2 | GGA-PBEsol | optimized geometry

Cell: 2.818 4.603 4.671 Å, 90.00 90.00 90.00°
Atoms (fractional coordinates):
Hg 0.500 0.500 0.000
Ru 0.500 0.000 0.500
Ru 0.000 0.000 0.000
Os 0.000 0.500 0.500

- DOS at the Fermi energy (states/eV/atom) = 1.607
- ΔE_f (meV/atom) = 905

---

HgOsRu2 | GGA-PBEsol | optimized geometry

Cell: 2.768 4.716 4.878 Å, 99.03 90.00 107.07°
Atoms (fractional coordinates):
Ru 0.241 0.483 0.221
Ru 0.759 0.517 0.779
Hg 0.000 0.000 0.500
Os 0.500 0.000 0.000

- DOS at the Fermi energy (states/eV/atom) = 1.303
- ΔE_f (meV/atom) = 556

---

Hg3OsRu | GGA-PBEsol | optimized geometry

Cell: 5.041 5.041 5.041 Å, 90.00 90.00 90.00°
Each line ends with the local moment (μB).
Atoms (fractional coordinates):
Os 0.500 0.500 0.500  3.04
Hg 0.500 0.000 0.000  0.03
Hg 0.000 0.000 0.500  0.03
Hg 0.000 0.500 0.000  0.03
Ru 0.000 0.000 0.000  1.14

- DOS at the Fermi energy (states/eV/atom) = 1.187
- ΔE_f (meV/atom) = 1967

---

Hg2OsRu | GGA-PBEsol | optimized geometry

Cell: 2.819 4.786 4.944 Å, 90.00 90.85 90.00°
Each line ends with the local moment (μB).
Atoms (fractional coordinates):
Ru 0.000 0.500 0.500  0.36
Hg 0.747 0.000 0.749  0.00
Hg 0.253 0.000 0.251  0.00
Os 0.500 0.500 0.000  -0.02

- DOS at the Fermi energy (states/eV/atom) = 1.161
- relative energy among the computed polymorphs (kJ/mol of formula units) = 24
- ΔE_f (meV/atom) = 831

---

Hg2OsRu | GGA-PBEsol | optimized geometry

Cell: 2.874 4.843 5.027 Å, 99.71 90.00 107.26°
Each line ends with the local moment (μB).
Atoms (fractional coordinates):
Os 0.500 0.000 0.000  0.23
Hg 0.749 0.499 0.748  0.00
Hg 0.251 0.501 0.252  0.00
Ru 0.000 0.000 0.500  0.42

- DOS at the Fermi energy (states/eV/atom) = 1.198
- relative energy among the computed polymorphs (kJ/mol of formula units) = 0
- ΔE_f (meV/atom) = 769